VASP calculation (PBE-GGA) on a geometry-optimized LaSeBr2 structure.

a = 5.867 Å, b = 5.867 Å, c = 5.867 Å
α = 133.66°, β = 133.66°, γ = 67.61°
Positions (direct):
La (0.000, 0.000, 0.000)
Se (0.250, 0.750, 0.500)
Br (0.500, 0.500, 0.000)
Br (0.750, 0.250, 0.500)

Calculated values
SG: I-4m2
Relative energy among the computed polymorphs: 24.09 kJ/mol of atoms
VASP energy: -4.16 eV per atom